This record from the Alexandria database describes Ce3MgTl3 after structural relaxation. The functional is PBE-GGA.

a = 6.5767 Å, b = 6.5767 Å, c = 9.8646 Å
α = 95.04°, β = 95.04°, γ = 106.35°
Element x y z (fractional)
Tl (0.9635, 0.5332, 0.7187)
Tl (0.4668, 0.0365, 0.2813)
Tl (0.1620, 0.1620, 0.8206)
Tl (0.5332, 0.9635, 0.7187)
Tl (0.0365, 0.4668, 0.2813)
Tl (0.8380, 0.8380, 0.1794)
Ce (0.4444, 0.4444, 0.6263)
Ce (0.5556, 0.5556, 0.3737)
Ce (0.8710, 0.1290, 0.5000)
Ce (0.1290, 0.8710, 0.5000)
Ce (0.3046, 0.6954, 0.0000)
Ce (0.6954, 0.3046, 0.0000)
Mg (0.8137, 0.8137, 0.8916)
Mg (0.1863, 0.1863, 0.1084)

Computed properties:
* calculated formation energy: -0.077 eV/atom
* symmetry: C2/m (12)
* D(E_F): 2.46 states/eV per atom